[1]
Computed, not measured: crystalline Si2Rh2Au at its relaxed geometry at the PBE-GGA level of DFT.

Unit cell a=6.3085 b=6.3085 c=6.3085 alpha=146.31 beta=146.31 gamma=48.39
Element x y z (fractional)
Si: 0.2500 0.7500 0.5000
Si: 0.7500 0.2500 0.5000
Rh: 0.1193 0.1193 0.0000
Rh: 0.8807 0.8807 0.0000
Au: 0.5000 0.5000 0.0000

## Properties
Its uncorrected formation energy is -512 meV/atom. For the total moment, the calculation gives 0.000 μB per atom. For the density of states at the Fermi level, the calculation gives 1.09 states/eV/f.u.

[2]
Computed, not measured: crystalline TmBC at its relaxed geometry at the PBE-GGA level of DFT.

Unit cell a=6.8833 b=3.3646 c=6.3412 alpha=90.00 beta=90.00 gamma=90.00
Element x y z (fractional)
Tm: 0.1688 0.2500 0.1559
Tm: 0.3312 0.7500 0.6559
Tm: 0.6688 0.2500 0.3441
Tm: 0.8312 0.7500 0.8441
B: 0.0243 0.2500 0.5729
B: 0.4757 0.7500 0.0729
B: 0.5243 0.2500 0.9271
B: 0.9757 0.7500 0.4271
C: 0.0893 0.2500 0.7953
C: 0.4107 0.7500 0.2953
C: 0.5893 0.2500 0.7047
C: 0.9107 0.7500 0.2047

## Properties
For the total moment, the calculation gives 0.000 μB per atom. For the density of states at the Fermi level, the calculation gives 0.45 states/eV/f.u. The calculation puts the energy of formation from the pure elements at -0.466 eV/atom.

[3]
Computed, not measured: crystalline CsCd6Pb6 at its relaxed geometry at the PBE-GGA level of DFT.

Unit cell a=8.4363 b=8.4363 c=8.4363 alpha=136.37 beta=100.74 gamma=95.16
Element x y z (fractional)
Cs: 0.0000 0.0000 0.0000
Cd: 0.0000 0.0000 0.5000
Cd: 0.0000 0.5000 0.0000
Cd: 0.2259 0.7259 0.5000
Cd: 0.5000 0.0000 0.0000
Cd: 0.5000 0.5000 0.5000
Cd: 0.7741 0.2741 0.5000
Pb: 0.2043 0.5000 0.7043
Pb: 0.3510 0.0000 0.3510
Pb: 0.3540 0.3540 0.0000
Pb: 0.6460 0.6460 0.0000
Pb: 0.6490 0.0000 0.6490
Pb: 0.7957 0.5000 0.2957

## Properties
For the total moment, the calculation gives 0.000 μB per atom. For the density of states at the Fermi level, the calculation gives 4.29 states/eV/f.u. The calculation puts the energy of formation from the pure elements at -0.024 eV/atom.

[4]
Computed, not measured: crystalline HfCoH at its relaxed geometry at the PBE-GGA level of DFT.

Unit cell a=3.5191 b=3.5191 c=3.2609 alpha=90.00 beta=90.00 gamma=120.00
Element x y z (fractional)
Hf: 0.0000 0.0000 0.0000
Co: 0.6667 0.3333 0.4993
H: 0.3333 0.6667 0.4972

## Properties
For the total moment, the calculation gives 0.000 μB per atom. For the density of states at the Fermi level, the calculation gives 1.55 states/eV/f.u. The electronic total energy comes out at -6.8460 eV/atom.

[5]
Computed, not measured: crystalline SrCaTl14 at its relaxed geometry at the PBE-GGA level of DFT.

Unit cell a=11.0261 b=6.8622 c=6.8622 alpha=72.25 beta=90.00 gamma=90.00
Element x y z (fractional)
Sr: 0.0000 0.0000 0.0000
Ca: 0.0000 0.5602 0.5602
Tl: 0.0000 0.0762 0.4857
Tl: 0.0000 0.4857 0.0762
Tl: 0.2496 0.7477 0.7477
Tl: 0.2509 0.2532 0.6969
Tl: 0.2509 0.6969 0.2532
Tl: 0.2580 0.2088 0.2088
Tl: 0.5000 0.0164 0.5017
Tl: 0.5000 0.5017 0.0164
Tl: 0.5000 0.5188 0.5188
Tl: 0.5000 0.9983 0.9983
Tl: 0.7420 0.2088 0.2088
Tl: 0.7491 0.2532 0.6969
Tl: 0.7491 0.6969 0.2532
Tl: 0.7504 0.7477 0.7477

## Properties
For the total moment, the calculation gives 0.000 μB per atom. For the density of states at the Fermi level, the calculation gives 8.02 states/eV/f.u. The calculation puts the energy of formation from the pure elements at -0.100 eV/atom.

[6]
Computed, not measured: crystalline ErZrFeTc at its relaxed geometry at the PBE-GGA level of DFT.

Unit cell a=4.6771 b=4.6771 c=4.6771 alpha=60.00 beta=60.00 gamma=60.00
Element x y z (fractional)
Er: 0.0000 0.0000 0.0000
Zr: 0.5000 0.5000 0.5000
Fe: 0.2500 0.2500 0.2500
Tc: 0.7500 0.7500 0.7500

## Properties
For the total moment, the calculation gives 0.333 μB per atom. For the density of states at the Fermi level, the calculation gives 5.45 states/eV/f.u. The calculation puts the energy of formation from the pure elements at -0.045 eV/atom.

[7]
Computed, not measured: crystalline MgCu2IO6 at its relaxed geometry at the PBE-GGA level of DFT.

Unit cell a=6.7107 b=6.7107 c=5.3636 alpha=95.84 beta=95.84 gamma=85.43
Element x y z (fractional)
Mg: 0.0879 0.9121 0.7500
Mg: 0.9121 0.0879 0.2500
Cu: 0.2169 0.4053 0.6949
Cu: 0.4053 0.2169 0.1949
Cu: 0.5947 0.7831 0.8051
Cu: 0.7831 0.5947 0.3051
I: 0.2628 0.7372 0.2500
I: 0.7372 0.2628 0.7500
O: 0.0103 0.2036 0.6246
O: 0.1433 0.6473 0.9198
O: 0.2036 0.0103 0.1246
O: 0.2835 0.4692 0.3620
O: 0.3527 0.8567 0.5802
O: 0.4692 0.2835 0.8620
O: 0.5308 0.7165 0.1380
O: 0.6473 0.1433 0.4198
O: 0.7165 0.5308 0.6380
O: 0.7964 0.9897 0.8754
O: 0.8567 0.3527 0.0802
O: 0.9897 0.7964 0.3754

## Properties
Its uncorrected formation energy is -832 meV/atom. For the total moment, the calculation gives 0.106 μB per atom. For the density of states at the Fermi level, the calculation gives 6.75 states/eV/f.u.

[8]
Computed, not measured: crystalline ScAs2Os at its relaxed geometry at the PBE-GGA level of DFT.

Unit cell a=3.0623 b=3.0623 c=8.2201 alpha=90.00 beta=90.00 gamma=90.00
Element x y z (fractional)
Sc: 0.0000 0.0000 0.0000
As: 0.0000 0.0000 0.6056
As: 0.5000 0.5000 0.2386
Os: 0.5000 0.5000 0.7680

## Properties
For the total moment, the calculation gives 0.000 μB per atom. For the density of states at the Fermi level, the calculation gives 1.96 states/eV/f.u. The calculation puts the energy of formation from the pure elements at -0.300 eV/atom.

[9]
Computed, not measured: crystalline HfGeBrO4 at its relaxed geometry at the PBE-GGA level of DFT.

Unit cell a=6.4329 b=6.4329 c=6.5590 alpha=102.39 beta=102.39 gamma=55.68
Element x y z (fractional)
Hf: 0.2032 0.2032 0.3431
Hf: 0.7968 0.7968 0.6569
Ge: 0.1319 0.1319 0.7721
Ge: 0.8681 0.8681 0.2279
Br: 0.4814 0.4814 0.8207
Br: 0.5186 0.5186 0.1793
O: 0.0253 0.0253 0.2813
O: 0.0282 0.5987 0.3764
O: 0.2001 0.2001 0.0382
O: 0.4013 0.9718 0.6236
O: 0.5987 0.0282 0.3764
O: 0.7999 0.7999 0.9618
O: 0.9718 0.4013 0.6236
O: 0.9747 0.9747 0.7187

## Properties
Its uncorrected formation energy is -2075 meV/atom. For the total moment, the calculation gives 0.000 μB per atom.